## SbPbS2Cl (PBE-GGA)

Data for a relaxed SbPbS2Cl crystal.

The structure in POSCAR format:
```
SbPbS2Cl
1.0
5.3594 0.0000 0.0000
0.0000 5.3594 0.0000
0.0000 0.0000 5.2454
Sb Pb S Cl
1 1 2 1
direct
0.0000 0.0000 0.0000
0.5000 0.5000 0.5000
0.0000 0.5000 0.5000
0.5000 0.0000 0.5000
0.5000 0.5000 0.0000
```

Results
Offset from the most stable computed form, meV/atom: 877
E_form (uncorrected), eV/atom: 0.344
Symmetry: P4/mmm